{
  "formula": "PaNbSeO4",
  "functional": "PBE",
  "state": "relaxed",
  "cell": [[5.309, -3.665, 0.000], [5.309, 3.665, 0.000], [-2.372, 0.000, 6.546]],
  "species": ["Pa", "Pa", "Nb", "Nb", "Se", "Se", "O", "O", "O", "O", "O", "O", "O", "O"],
  "frac_coords": [[0.220, 0.220, 0.137], [0.780, 0.780, 0.863], [0.374, 0.374, 0.755], [0.626, 0.626, 0.245], [0.006, 0.006, 0.756], [0.994, 0.994, 0.244], [0.086, 0.488, 0.829], [0.322, 0.322, 0.471], [0.436, 0.436, 0.146], [0.488, 0.086, 0.829], [0.512, 0.914, 0.171], [0.564, 0.564, 0.854], [0.678, 0.678, 0.529], [0.914, 0.512, 0.171]],
  "e_form_raw_kj_per_mol_atoms": -248
}

{
  "formula": "TlHg2Pb2",
  "functional": "PBE",
  "state": "relaxed",
  "cell": [[-1.925, 1.925, 9.745], [1.925, -1.925, 9.745], [1.925, 1.925, -9.745]],
  "species": ["Tl", "Hg", "Hg", "Pb", "Pb"],
  "frac_coords": [[0.000, 0.000, 0.000], [0.208, 0.208, 0.000], [0.792, 0.792, 0.000], [0.386, 0.386, 0.000], [0.614, 0.614, 0.000]],
  "e_above_lowest_polymorph_ev_per_atom": 0.021
}